1.
The following is a DFT calculation (PBE-GGA) of a relaxed KTaSCl2 crystal.

Values from the calculation:
D(E_F) ... 2.0 states/eV/f.u.
SG ... P4/mmm
Energy ... -5.191 eV per atom
Magnetization ... 0.384 μB per cell
E_form (uncorrected) ... -1.036 eV per atom

```
KTaSCl2
1.0
4.991 0.000 0.000
0.000 4.991 0.000
0.000 0.000 4.807
Cl Ta K S
2 1 1 1
direct
0.000 0.500 0.000
0.500 0.000 0.000
0.000 0.000 0.000
0.500 0.500 0.500
0.000 0.000 0.500
```



2.
The following is a DFT calculation (PBE-GGA) of a relaxed KTaSCl2 crystal.

Values from the calculation:
D(E_F) ... 6.6 states/eV/f.u.
SG ... P4/mmm
Energy ... -3.114 eV per atom
Magnetization ... 0.569 μB per cell
E_form (uncorrected) ... 1.040 eV per atom

```
KTaSCl2
1.0
5.245 0.000 0.000
0.000 5.245 0.000
0.000 0.000 5.536
S K Cl Ta
1 1 2 1
direct
0.000 0.000 0.500
0.000 0.000 0.000
0.000 0.500 0.000
0.500 0.000 0.000
0.500 0.500 0.500
```



Number 1: polymorph energy (0 for the lowest one) 0 meV/atom. Number 2: polymorph energy (0 for the lowest one) 2077 meV/atom.